Record 1
Cs2KHg2Cl7 (PBE-GGA, relaxed); crystal system = tetragonal; VASP energy = -2.646 eV per atom; ρ = 3.9 g/cm³; formation energy without anion corrections = -1.2846 eV per atom; symmetry = I4/mmm (139)
1.0
-2.712 2.712 13.678
2.712 -2.712 13.678
2.712 2.712 -13.678
Cs K Hg Cl
2 1 2 7
Direct
0.177 0.177 0.000 Cs
0.823 0.823 0.000 Cs
0.000 0.000 0.000 K
0.402 0.402 0.000 Hg
0.598 0.598 0.000 Hg
0.090 0.590 0.500 Cl
0.307 0.307 0.000 Cl
0.410 0.910 0.500 Cl
0.500 0.500 0.000 Cl
0.590 0.090 0.500 Cl
0.693 0.693 0.000 Cl
0.910 0.410 0.500 Cl

***

Record 2
CsKHg2Cl6 (PBE-GGA, relaxed); crystal system = monoclinic; VASP energy = -2.530 eV per atom; ρ = 3.2 g/cm³; formation energy without anion corrections = -1.1668 eV per atom; symmetry = C2/c (15); DOS at the Fermi energy = 0.00 states/eV/f.u.
1.0
7.413 -7.571 0.000
7.413 7.571 0.000
-1.282 0.000 7.247
Cs K Hg Cl
2 2 4 12
Direct
0.128 0.872 0.750 Cs
0.872 0.128 0.250 Cs
0.410 0.590 0.250 K
0.590 0.410 0.750 K
0.180 0.375 0.806 Hg
0.375 0.180 0.306 Hg
0.625 0.820 0.694 Hg
0.820 0.625 0.194 Hg
0.044 0.189 0.701 Cl
0.173 0.593 0.950 Cl
0.189 0.044 0.201 Cl
0.312 0.399 0.510 Cl
0.399 0.312 0.010 Cl
0.407 0.827 0.550 Cl
0.593 0.173 0.450 Cl
0.601 0.688 0.990 Cl
0.688 0.601 0.490 Cl
0.811 0.956 0.799 Cl
0.827 0.407 0.050 Cl
0.956 0.811 0.299 Cl

***

Record 3
CsK2HgCl (PBE-GGA, relaxed); crystal system = tetragonal; VASP energy = -1.807 eV per atom; ρ = 2.9 g/cm³; polymorph energy (0 for the lowest one) = 0.000 eV per atom; formation energy without anion corrections = -0.7671 eV per atom; symmetry = P4/mmm (123); DOS at the Fermi energy = 3.21 states/eV/f.u.
1.0
6.114 0.000 0.000
0.000 6.114 0.000
0.000 0.000 6.867
Cs K Hg Cl
1 2 1 1
Direct
0.000 0.000 0.000 Cs
0.000 0.500 0.500 K
0.500 0.000 0.500 K
0.500 0.500 0.000 Hg
0.000 0.000 0.500 Cl

***

Record 4
Cs4KHg3Cl12 (PBE-GGA, relaxed); crystal system = cubic; VASP energy = -2.637 eV per atom; ρ = 4.0 g/cm³; formation energy without anion corrections = -1.2579 eV per atom; symmetry = Im-3m (229); DOS at the Fermi energy = 12.33 states/eV/f.u.
1.0
-5.507 5.507 5.507
5.507 -5.507 5.507
5.507 5.507 -5.507
Cs K Hg Cl
4 1 3 12
Direct
0.000 0.000 0.500 Cs
0.000 0.500 0.000 Cs
0.500 0.000 0.000 Cs
0.500 0.500 0.500 Cs
0.000 0.000 0.000 K
0.000 0.500 0.500 Hg
0.500 0.000 0.500 Hg
0.500 0.500 0.000 Hg
0.000 0.271 0.271 Cl
0.000 0.729 0.729 Cl
0.250 0.500 0.750 Cl
0.250 0.750 0.500 Cl
0.271 0.000 0.271 Cl
0.271 0.271 0.000 Cl
0.500 0.250 0.750 Cl
0.500 0.750 0.250 Cl
0.729 0.000 0.729 Cl
0.729 0.729 0.000 Cl
0.750 0.250 0.500 Cl
0.750 0.500 0.250 Cl

***

Record 5
Cs3LiHg2Cl9 (PBE-GGA, relaxed); crystal system = trigonal; VASP energy = -2.704 eV per atom; ρ = 4.2 g/cm³; formation energy without anion corrections = -1.2575 eV per atom; symmetry = P-3m1 (164); DOS at the Fermi energy = 6.94 states/eV/f.u.
1.0
7.476 0.000 0.000
-3.738 6.474 0.000
0.000 0.000 9.207
Cs Li Hg Cl
3 1 2 9
Direct
0.000 0.000 0.000 Cs
0.333 0.667 0.660 Cs
0.667 0.333 0.340 Cs
0.000 0.000 0.500 Li
0.333 0.667 0.178 Hg
0.667 0.333 0.822 Hg
0.000 0.500 0.000 Cl
0.164 0.328 0.332 Cl
0.164 0.836 0.332 Cl
0.328 0.164 0.668 Cl
0.500 0.000 0.000 Cl
0.500 0.500 0.000 Cl
0.672 0.836 0.332 Cl
0.836 0.164 0.668 Cl
0.836 0.672 0.668 Cl

***

Record 6
Cs3Li2HgCl6 (PBE-GGA, relaxed); crystal system = trigonal; VASP energy = -3.014 eV per atom; ρ = 2.9 g/cm³; formation energy without anion corrections = -1.5327 eV per atom; symmetry = P-3m1 (164); DOS at the Fermi energy = 3.69 states/eV/f.u.
1.0
7.847 0.000 0.000
-3.924 6.796 0.000
0.000 0.000 8.973
Cs Li Hg Cl
3 2 1 6
Direct
0.000 0.000 0.000 Cs
0.333 0.667 0.632 Cs
0.667 0.333 0.368 Cs
0.333 0.667 0.235 Li
0.667 0.333 0.765 Li
0.000 0.000 0.500 Hg
0.172 0.343 0.285 Cl
0.172 0.828 0.285 Cl
0.343 0.172 0.715 Cl
0.657 0.828 0.285 Cl
0.828 0.172 0.715 Cl
0.828 0.657 0.715 Cl